A relaxed CaSIO2 crystal, computed with PBE.

extended XYZ file:
```
5
Lattice="4.186 0.000 0.000 0.000 4.186 0.000 0.000 0.000 5.208" Properties=species:S:1:pos:R:3 pbc="T T T"
S 0.000 0.000 0.000
O 2.093 0.000 0.000
O 0.000 2.093 0.000
Ca 2.093 2.093 2.604
I 0.000 0.000 2.604
```

Magnetization = 0.00 μB per formula unit
Electronic total energy = -0.143 Ha/atom



A relaxed YbZn2P2 crystal, computed with PBE.

extended XYZ file:
```
5
Lattice="-3.601 1.297 -1.297 0.497 -3.873 1.041 -1.735 1.466 6.281" Properties=species:S:1:pos:R:3 pbc="T T T"
Zn -2.866 0.107 1.768
Zn -1.972 -1.217 4.256
Yb 0.000 0.000 0.000
P -1.315 -1.773 1.877
P -3.523 0.663 4.148
```

Calculated formation energy = -3.6 eV/f.u.
Magnetization = 0.23 μB per formula unit



A relaxed LiSbRh crystal, computed with PBE.

extended XYZ file:
```
3
Lattice="-1.758 -4.415 -0.806 1.733 -2.676 -3.615 1.653 2.612 3.698" Properties=species:S:1:pos:R:3 pbc="T T T"
Li -0.024 -7.068 -4.406
Rh -0.008 -2.339 -1.458
Sb -0.016 -4.775 -2.977
```

Magnetization = 0.00 μB per formula unit
Electronic total energy = -0.183 Ha/atom



A relaxed In2Sn2Sb crystal, computed with PBE.

extended XYZ file:
```
10
Lattice="-3.692 -0.240 -8.155 -3.461 -8.060 1.804 -2.903 1.531 1.270" Properties=species:S:1:pos:R:3 pbc="T T T"
In -4.132 -4.366 0.694
In -3.267 -0.392 -2.121
In -5.925 -2.403 -5.775
In -6.790 -6.377 -2.960
Sb 0.000 0.000 0.000
Sb -3.577 -4.150 -3.175
Sn -3.047 -1.513 -5.143
Sn -4.107 -6.787 -1.208
Sn -1.769 -2.718 -0.769
Sn -5.384 -5.582 -5.582
```

Polymorph energy (0 for the lowest one) = 0 meV/atom
Magnetization = 0.00 μB per formula unit



A relaxed BaHgOs2Cl crystal, computed with PBE.

extended XYZ file:
```
5
Lattice="5.086 0.000 0.000 0.000 6.045 0.000 0.000 0.000 5.086" Properties=species:S:1:pos:R:3 pbc="T T T"
Os 0.000 0.000 2.543
Os 2.543 0.000 0.000
Ba 2.543 3.022 2.543
Hg 0.000 0.000 0.000
Cl 0.000 3.022 0.000
```

Magnetization = 4.62 μB per formula unit
Electronic total energy = -0.144 Ha/atom



A relaxed FeAgPt2 crystal, computed with PBE.

extended XYZ file:
```
8
Lattice="7.147 0.000 0.000 0.000 7.147 0.000 3.574 3.574 2.670" Properties=species:S:1:pos:R:3 pbc="T T T"
Pt 5.360 5.610 2.002
Pt 2.036 5.360 0.667
Pt 5.111 1.787 0.667
Pt 8.934 8.684 2.002
Ag 7.147 3.574 1.335
Ag 0.000 0.000 0.000
Fe 3.574 3.574 0.000
Fe 3.574 7.147 1.335
```

Calculated formation energy = 1.0 eV/f.u.
Magnetization = 4.09 μB per formula unit



A relaxed SrYZr2 crystal, computed with PBE.

extended XYZ file:
```
4
Lattice="5.870 0.001 0.000 1.694 5.621 0.000 -3.782 -2.811 3.501" Properties=species:S:1:pos:R:3 pbc="T T T"
Zr 0.847 2.810 1.750
Zr 0.000 0.000 0.000
Y 2.935 0.001 1.750
Sr 3.782 2.811 0.000
```

Polymorph energy (0 for the lowest one) = 204 meV/atom
Calculated formation energy = 1.7 eV/f.u.
Magnetization = 0.00 μB per formula unit



A relaxed CdAgPt14 crystal, computed with PBE.

extended XYZ file:
```
16
Lattice="-3.700 -2.434 3.456 5.296 0.872 1.657 -2.437 8.449 3.341" Properties=species:S:1:pos:R:3 pbc="T T T"
Pt -1.769 4.771 6.577
Pt 1.104 4.542 2.562
Pt -1.120 -1.486 2.940
Pt -4.396 4.311 5.733
Pt 1.903 3.760 5.123
Pt -2.568 5.553 4.018
Pt -1.337 1.284 2.330
Pt -0.538 0.502 4.889
Pt 1.533 -1.048 3.767
Pt -3.181 0.101 4.068
Pt 0.734 -0.267 1.211
Pt 0.104 5.967 4.834
Pt 1.319 1.753 3.167
Pt 3.378 0.167 2.040
Ag 3.742 4.973 3.395
Cd -0.760 3.319 4.295
```

Calculated formation energy = -0.4 eV/f.u.
Magnetization = 0.00 μB per formula unit